The following is a PBE-GGA calculation of a relaxed structure of CaCuP, from the Alexandria database.

Lattice parameters (Å, degrees): 10.289 3.985 6.080 90.00 100.69 90.00
Sites, in units of the cell vectors:
Ca: 0.000 0.000 0.000
Ca: 0.174 0.500 0.604
Ca: 0.500 0.500 0.000
Ca: 0.674 0.000 0.604
Cu: 0.254 0.500 0.138
Cu: 0.381 0.000 0.333
Cu: 0.754 0.000 0.138
Cu: 0.881 0.500 0.333
P: 0.270 0.000 0.956
P: 0.454 0.500 0.496
P: 0.770 0.500 0.956
P: 0.954 0.000 0.496

## Properties
- D(E_F) (states/eV/cell) = 5.85
- calculated formation energy (eV per atom) = -0.6512
- energy (eV for the cell shown) = -53.8
- space-group type = Cm, No. 8